(1)
Pm3YH8 (PBE, optimized geometry); SG = Pm-3m (221); magnetization = 0.00 μB/cell; DFT total energy = -4.648 eV/atom
1.0
-0.1339 -5.1874 -1.3159
5.3298 -0.0102 -0.5019
0.4839 -1.3226 5.1648
Pm H Y
3 8 1
direct
0.5000 0.5000 0.0000 Pm
0.5000 0.0000 0.5000 Pm
0.0000 0.5000 0.5000 Pm
0.7557 0.2443 0.7557 H
0.2443 0.7557 0.2443 H
0.7557 0.7557 0.7557 H
0.7557 0.7557 0.2443 H
0.2443 0.2443 0.7557 H
0.2443 0.7557 0.7557 H
0.2443 0.2443 0.2443 H
0.7557 0.2443 0.2443 H
0.0000 0.0000 0.0000 Y



(2)
Pm4YH8 (PBE, optimized geometry); SG = Pm-3m (221); magnetization = 0.89 μB/cell; DFT total energy = -4.248 eV/atom
1.0
-0.2386 5.7920 0.4522
-3.2221 -0.5085 4.8134
4.8343 -0.0531 3.2305
Y Pm H
1 4 8
direct
0.5000 0.5000 0.5000 Y
0.5000 0.5000 0.0000 Pm
0.0000 0.5000 0.5000 Pm
0.0000 0.0000 0.0000 Pm
0.5000 0.0000 0.5000 Pm
0.7347 0.2653 0.2653 H
0.7347 0.7347 0.7347 H
0.2653 0.2653 0.2653 H
0.2653 0.7347 0.7347 H
0.2653 0.7347 0.2653 H
0.7347 0.2653 0.7347 H
0.2653 0.2653 0.7347 H
0.7347 0.7347 0.2653 H



(3)
PmYH2 (PBE, optimized geometry); SG = R3m (160); magnetization = 0.00 μB/cell; DFT total energy = -4.776 eV/atom; E above lowest polymorph = 87 meV per atom
1.0
-2.2059 -1.0828 -2.5597
-0.1644 -3.4377 -0.8635
-5.1139 -2.3227 2.9303
Pm H Y
1 2 1
direct
0.4907 0.4907 0.5278 Pm
0.2662 0.2662 0.2015 H
0.0732 0.0732 0.7803 H
0.6698 0.6698 0.9905 Y



(4)
Pm2YH8 (PBE, optimized geometry); SG = Immm (71); magnetization = 0.00 μB/cell; DFT total energy = -4.493 eV/atom
1.0
-1.7703 -1.0075 -3.1658
2.2253 -4.7310 0.2613
-4.5848 0.9873 4.4876
H Pm Y
8 2 1
direct
0.6562 0.8997 0.3124 H
0.0000 0.7420 0.0000 H
0.6562 0.4127 0.3124 H
0.8358 0.8358 0.6716 H
0.1642 0.1642 0.3283 H
0.3438 0.1003 0.6876 H
0.3438 0.5873 0.6876 H
0.0000 0.2580 0.0000 H
0.8313 0.3313 0.6626 Pm
0.1687 0.6687 0.3374 Pm
0.5000 0.0000 0.0000 Y



(5)
PmYH (PBE, optimized geometry); SG = Pna2_1 (33); magnetization = 0.00 μB/cell; DFT total energy = -5.086 eV/atom; E above lowest polymorph = 0 meV per atom
1.0
6.3395 0.0000 0.0000
0.0000 7.3851 0.0000
0.0000 0.0000 11.4196
H Y Pm
8 8 8
direct
0.2303 0.6228 0.1215 H
0.2419 0.1207 0.6245 H
0.2419 0.6207 0.8755 H
0.2303 0.1228 0.3785 H
0.7303 0.8772 0.6215 H
0.7303 0.3772 0.8785 H
0.7419 0.8793 0.3755 H
0.7419 0.3793 0.1245 H
0.4010 0.8728 0.7458 Y
0.5601 0.6206 0.9971 Y
0.9010 0.6272 0.2458 Y
0.4010 0.3728 0.7542 Y
0.9010 0.1272 0.2542 Y
0.0601 0.3794 0.0029 Y
0.0601 0.8794 0.4971 Y
0.5601 0.1206 0.5029 Y
0.0662 0.3750 0.5016 Pm
0.5662 0.6250 0.4984 Pm
0.0662 0.8750 0.9984 Pm
0.9019 0.1245 0.7475 Pm
0.5662 0.1250 0.0016 Pm
0.4019 0.8755 0.2525 Pm
0.4019 0.3755 0.2475 Pm
0.9019 0.6245 0.7525 Pm



(6)
PmYH (PBE, optimized geometry); SG = I4mm (107); magnetization = 0.00 μB/cell; DFT total energy = -4.973 eV/atom; E above lowest polymorph = 113 meV per atom
1.0
3.3879 0.0000 0.0000
0.0000 3.3879 0.0000
-1.6939 -1.6939 6.1743
Y Pm H
1 1 1
direct
0.7455 0.7455 0.4910 Y
0.0341 0.0341 0.0683 Pm
0.2203 0.2203 0.4407 H



(7)
Pm2ZnH (PBE, optimized geometry); SG = R-3m (166); magnetization = 0.00 μB/cell; DFT total energy = -3.754 eV/atom; E above lowest polymorph = 0 meV per atom
1.0
-1.6499 -0.8223 -3.2635
-2.8820 -2.3947 -0.0920
-6.1243 4.4440 -0.1760
Pm Zn H
2 1 1
direct
0.2331 0.2331 0.3008 Pm
0.7669 0.7669 0.6992 Pm
0.0000 0.0000 0.0000 Zn
0.5000 0.5000 0.5000 H



(8)
PmZnH3 (PBE, optimized geometry); SG = C2/m (12); magnetization = 0.00 μB/cell; DFT total energy = -3.564 eV/atom
1.0
3.5603 -0.0111 -1.3650
-1.2094 5.4915 -3.1985
0.2697 -0.1601 6.1650
H Pm Zn
6 2 2
direct
0.8625 0.0799 0.3729 H
0.2242 0.4435 0.1002 H
0.8625 0.4835 0.3728 H
0.2243 0.8472 0.1003 H
0.5433 0.6730 0.7366 H
0.5433 0.2541 0.7366 H
0.7298 0.6509 0.1113 Pm
0.3570 0.2762 0.3619 Pm
0.0432 0.7712 0.7366 Zn
0.0431 0.1556 0.7366 Zn



(9)
Pm2ZnH (PBE, optimized geometry); SG = P4/mmm (123); magnetization = 0.00 μB/cell; DFT total energy = -3.591 eV/atom; E above lowest polymorph = 163 meV per atom
1.0
-2.2726 2.1459 -1.2799
-2.1622 -0.8220 2.4610
2.6898 5.3175 4.1394
H Pm Zn
1 2 1
direct
0.5000 0.5000 0.0000 H
0.0000 0.0000 0.7701 Pm
0.0000 0.0000 0.2299 Pm
0.5000 0.5000 0.5000 Zn



(10)
Pm3ZnH (PBE, optimized geometry); SG = Pm-3m (221); magnetization = 0.00 μB/cell; DFT total energy = -3.946 eV/atom
1.0
-3.5338 -2.8617 1.8180
3.3885 -2.8945 2.0302
-0.1118 2.7229 4.0688
Pm Zn H
3 1 1
direct
0.0000 0.5000 0.0000 Pm
0.0000 0.0000 0.5000 Pm
0.5000 0.0000 0.0000 Pm
0.5000 0.5000 0.5000 Zn
0.0000 0.0000 0.0000 H



(11)
Pm12Zn3H5 (PBE, optimized geometry); SG = Ia-3d (230); magnetization = 0.00 μB/cell; DFT total energy = -4.088 eV/atom
1.0
13.6145 0.0000 0.0000
-4.5382 12.8359 0.0000
-4.5382 -6.4179 11.1162
Pm H Zn
48 20 12
direct
0.3092 0.7907 0.4029 Pm
0.5971 0.7093 0.6908 Pm
0.6122 0.0185 0.2093 Pm
0.2907 0.8878 0.9815 Pm
0.8092 0.9063 0.0185 Pm
0.5185 0.2093 0.1122 Pm
0.1122 0.7093 0.5185 Pm
0.4815 0.6908 0.0937 Pm
0.9815 0.5937 0.1908 Pm
0.4029 0.1122 0.5937 Pm
0.6908 0.4815 0.5937 Pm
0.2093 0.6908 0.0971 Pm
0.9029 0.0937 0.6122 Pm
0.2093 0.5185 0.6122 Pm
0.9063 0.8092 0.5185 Pm
0.4029 0.2907 0.3092 Pm
0.5971 0.8878 0.4063 Pm
0.2907 0.4029 0.8092 Pm
0.1908 0.0971 0.7093 Pm
0.0185 0.6122 0.7093 Pm
0.7093 0.5971 0.1908 Pm
0.0971 0.9063 0.3878 Pm
0.6908 0.2093 0.5971 Pm
0.3878 0.4063 0.0971 Pm
0.8092 0.9029 0.2907 Pm
0.6122 0.5937 0.9029 Pm
0.3092 0.5185 0.4063 Pm
0.5937 0.6122 0.4029 Pm
0.0185 0.4063 0.8092 Pm
0.8878 0.2907 0.4815 Pm
0.7907 0.3092 0.9029 Pm
0.4063 0.0185 0.3092 Pm
0.4063 0.3878 0.5971 Pm
0.5185 0.3092 0.9063 Pm
0.9815 0.3878 0.2907 Pm
0.3878 0.9815 0.7907 Pm
0.0937 0.1908 0.4815 Pm
0.8878 0.5971 0.9063 Pm
0.7907 0.4815 0.3878 Pm
0.7093 0.1122 0.0185 Pm
0.9029 0.8092 0.7907 Pm
0.1908 0.0937 0.9815 Pm
0.0971 0.1908 0.2093 Pm
0.4815 0.7907 0.8878 Pm
0.1122 0.4029 0.0937 Pm
0.0937 0.9029 0.1122 Pm
0.9063 0.0971 0.8878 Pm
0.5937 0.9815 0.6908 Pm
0.0000 0.0000 0.5000 H
0.8750 0.6250 0.7500 H
0.2500 0.3750 0.6250 H
0.7500 0.6250 0.3750 H
0.2500 0.8750 0.1250 H
0.5000 0.0000 0.0000 H
0.1250 0.3750 0.2500 H
0.6250 0.7500 0.8750 H
0.5000 0.5000 0.0000 H
0.7500 0.1250 0.8750 H
0.3750 0.1250 0.7500 H
0.3750 0.2500 0.1250 H
0.0000 0.5000 0.5000 H
0.5000 0.5000 0.5000 H
0.0000 0.0000 0.0000 H
0.1250 0.7500 0.3750 H
0.0000 0.5000 0.0000 H
0.8750 0.2500 0.6250 H
0.6250 0.8750 0.2500 H
0.5000 0.0000 0.5000 H
0.7500 0.8750 0.6250 Zn
0.3750 0.6250 0.2500 Zn
0.3750 0.7500 0.6250 Zn
0.6250 0.3750 0.7500 Zn
0.7500 0.3750 0.1250 Zn
0.1250 0.8750 0.7500 Zn
0.1250 0.2500 0.8750 Zn
0.8750 0.1250 0.2500 Zn
0.6250 0.2500 0.3750 Zn
0.2500 0.1250 0.3750 Zn
0.2500 0.6250 0.8750 Zn
0.8750 0.7500 0.1250 Zn



(12)
Pm3Zn5H12 (PBE, optimized geometry); SG = Ia-3d (230); magnetization = 0.00 μB/cell; DFT total energy = -3.145 eV/atom
1.0
-9.9922 -2.1185 3.5711
6.9344 -0.2905 8.3016
0.2044 9.8254 -4.5282
H Pm Zn
48 12 20
direct
0.0369 0.6441 0.7518 H
0.2850 0.7482 0.3923 H
0.7518 0.6077 0.2150 H
0.2482 0.3923 0.7850 H
0.7482 0.2850 0.8923 H
0.1072 0.2150 0.4631 H
0.8559 0.2482 0.4631 H
0.8559 0.6077 0.8928 H
0.8923 0.1072 0.6441 H
0.4631 0.7150 0.1072 H
0.2150 0.1072 0.9631 H
0.2482 0.8559 0.9631 H
0.0369 0.3928 0.7850 H
0.2518 0.7150 0.1077 H
0.9631 0.3559 0.2482 H
0.1441 0.7518 0.5369 H
0.1072 0.8923 0.1441 H
0.3923 0.1441 0.6072 H
0.6441 0.6072 0.8923 H
0.1077 0.8928 0.3559 H
0.5369 0.2850 0.8928 H
0.6077 0.8559 0.3928 H
0.3923 0.2482 0.2850 H
0.8928 0.1077 0.8559 H
0.1077 0.2150 0.2518 H
0.8928 0.7850 0.5369 H
0.2150 0.1077 0.7518 H
0.7850 0.8928 0.0369 H
0.7150 0.2518 0.6077 H
0.6077 0.7518 0.7150 H
0.2518 0.5369 0.6441 H
0.7850 0.8923 0.2482 H
0.6441 0.0369 0.2518 H
0.5369 0.2518 0.1441 H
0.1441 0.3923 0.1072 H
0.3928 0.3559 0.6077 H
0.6072 0.9631 0.7150 H
0.3559 0.9631 0.7482 H
0.7518 0.1441 0.0369 H
0.7150 0.4631 0.6072 H
0.4631 0.7482 0.8559 H
0.7482 0.4631 0.3559 H
0.2850 0.5369 0.3928 H
0.9631 0.6072 0.2150 H
0.8923 0.7850 0.7482 H
0.6072 0.6441 0.3923 H
0.3559 0.3928 0.1077 H
0.3928 0.0369 0.2850 H
0.6250 0.3750 0.7500 Pm
0.8750 0.1250 0.2500 Pm
0.6250 0.2500 0.3750 Pm
0.8750 0.7500 0.1250 Pm
0.3750 0.6250 0.2500 Pm
0.3750 0.7500 0.6250 Pm
0.2500 0.6250 0.8750 Pm
0.1250 0.8750 0.7500 Pm
0.7500 0.8750 0.6250 Pm
0.1250 0.2500 0.8750 Pm
0.2500 0.1250 0.3750 Pm
0.7500 0.3750 0.1250 Pm
0.8750 0.2500 0.6250 Zn
0.2500 0.8750 0.1250 Zn
0.0000 0.5000 0.5000 Zn
0.0000 0.0000 0.5000 Zn
0.7500 0.1250 0.8750 Zn
0.3750 0.2500 0.1250 Zn
0.6250 0.8750 0.2500 Zn
0.1250 0.3750 0.2500 Zn
0.2500 0.3750 0.6250 Zn
0.7500 0.6250 0.3750 Zn
0.3750 0.1250 0.7500 Zn
0.0000 0.5000 0.0000 Zn
0.5000 0.0000 0.5000 Zn
0.6250 0.7500 0.8750 Zn
0.8750 0.6250 0.7500 Zn
0.5000 0.5000 0.0000 Zn
0.5000 0.5000 0.5000 Zn
0.0000 0.0000 0.0000 Zn
0.1250 0.7500 0.3750 Zn
0.5000 0.0000 0.0000 Zn



(13)
PmZn2H8 (PBE, optimized geometry); SG = C2/m (12); magnetization = 0.00 μB/cell; DFT total energy = -3.070 eV/atom
1.0
6.1929 -0.8172 -0.5534
-0.8674 4.2450 1.3789
-1.0253 1.0722 4.2980
H Pm Zn
8 1 2
direct
0.8159 0.4546 0.4546 H
0.3913 0.1281 0.1281 H
0.1841 0.5454 0.5454 H
0.6087 0.8719 0.8719 H
0.8317 0.9061 0.4712 H
0.8317 0.4712 0.9061 H
0.1683 0.0939 0.5288 H
0.1683 0.5288 0.0939 H
0.0000 0.0000 0.0000 Pm
0.3312 0.7701 0.7701 Zn
0.6688 0.2299 0.2299 Zn



(14)
Pm2ZnH (PBE, optimized geometry); SG = R3m (160); magnetization = 0.00 μB/cell; DFT total energy = -3.733 eV/atom; E above lowest polymorph = 21 meV per atom
1.0
3.7192 0.0000 0.0000
1.8596 3.2210 0.0000
1.8596 1.0737 7.3355
H Pm Zn
1 2 1
direct
0.6668 0.6668 0.9996 H
0.2693 0.2693 0.1921 Pm
0.0646 0.0646 0.8061 Pm
0.4993 0.4993 0.5022 Zn



(15)
Pm2ZnH8 (PBE, optimized geometry); SG = C2 (5); magnetization = 0.00 μB/cell; DFT total energy = -3.746 eV/atom
1.0
-2.4982 2.5934 1.3797
-0.6239 -2.6604 3.8709
6.0367 2.4261 0.9813
Zn H Pm
1 8 2
direct
0.3470 0.0000 0.0000 Zn
0.3477 0.5811 0.6762 H
0.2268 0.1752 0.4445 H
0.0562 0.2718 0.0422 H
0.6185 0.8790 0.2051 H
0.4134 0.1210 0.7949 H
0.6715 0.4189 0.3238 H
0.0140 0.7282 0.9578 H
0.7823 0.8248 0.5555 H
0.1748 0.6703 0.3272 Pm
0.8477 0.3297 0.6728 Pm



(16)
PmZnH4 (PBE, optimized geometry); SG = C2/c (15); magnetization = 0.00 μB/cell; DFT total energy = -3.447 eV/atom
1.0
-1.0346 -3.7817 -0.1906
1.9403 0.8199 -5.4341
4.7126 -0.0139 4.4312
Zn H Pm
2 8 2
direct
0.1584 0.4084 0.3168 Zn
0.8416 0.5916 0.6832 Zn
0.7619 0.1671 0.0990 H
0.8609 0.2551 0.6321 H
0.2381 0.8329 0.9010 H
0.1391 0.7449 0.3679 H
0.6629 0.5681 0.9010 H
0.2288 0.1230 0.3679 H
0.7712 0.8770 0.6321 H
0.3371 0.4319 0.0990 H
0.6194 0.8694 0.2387 Pm
0.3806 0.1306 0.7613 Pm



(17)
Pm4Zn2H (PBE, optimized geometry); SG = I4/mmm (139); magnetization = 0.00 μB/cell; DFT total energy = -3.763 eV/atom
1.0
4.8012 0.0000 0.0000
0.0000 4.8012 0.0000
2.4006 2.4006 7.5575
H Pm Zn
1 4 2
direct
0.0000 0.0000 0.0000 H
0.5000 0.0000 0.0000 Pm
0.1860 0.1860 0.6280 Pm
0.0000 0.5000 0.0000 Pm
0.8140 0.8140 0.3720 Pm
0.3756 0.3756 0.2488 Zn
0.6244 0.6244 0.7512 Zn